Run a
# NaTe2SI PBE-GGA relaxed
data_NaTe2SI
_symmetry_space_group_name_H-M 'P 4/m m m'
_symmetry_Int_Tables_number 123
_symmetry_space_group_name_Hall '-P 4 2'
_cell_length_a 5.604
_cell_length_b 5.604
_cell_length_c 5.572
_cell_angle_alpha 90.00
_cell_angle_beta 90.00
_cell_angle_gamma 90.00
loop_
_atom_site_label
_atom_site_fract_x
_atom_site_fract_y
_atom_site_fract_z
Na1 0.000 0.000 0.000
Te1 0.000 0.500 0.000
S1 0.500 0.500 0.500
I1 0.000 0.000 0.500
# Magnetization = 0.226 μB/atom


Run b
# NaTe2SI PBE-GGA relaxed
data_NaTe2SI
_symmetry_space_group_name_H-M 'P 4/m m m'
_symmetry_Int_Tables_number 123
_symmetry_space_group_name_Hall '-P 4 2'
_cell_length_a 5.360
_cell_length_b 5.360
_cell_length_c 5.769
_cell_angle_alpha 90.00
_cell_angle_beta 90.00
_cell_angle_gamma 90.00
loop_
_atom_site_label
_atom_site_fract_x
_atom_site_fract_y
_atom_site_fract_z
Na1 0.000 0.000 0.000
Te1 0.000 0.500 0.500
S1 0.500 0.500 0.500
I1 0.500 0.500 0.000
# Magnetization = 0.107 μB/atom


Most favorable structure: run b. The second most favorable one is 771 meV per atom above it.


Run a
# NaTeSI2 PBE-GGA relaxed
data_NaTeSI2
_symmetry_space_group_name_H-M 'P 4/m m m'
_symmetry_Int_Tables_number 123
_symmetry_space_group_name_Hall '-P 4 2'
_cell_length_a 5.723
_cell_length_b 5.723
_cell_length_c 5.346
_cell_angle_alpha 90.00
_cell_angle_beta 90.00
_cell_angle_gamma 90.00
loop_
_atom_site_label
_atom_site_fract_x
_atom_site_fract_y
_atom_site_fract_z
Na1 0.000 0.000 0.000
Te1 0.500 0.500 0.000
S1 0.500 0.500 0.500
I1 0.000 0.500 0.500
# Magnetization = 0.010 μB/atom


Run b
# NaTeSI2 PBE-GGA relaxed
data_NaTeSI2
_symmetry_space_group_name_H-M 'P 4/m m m'
_symmetry_Int_Tables_number 123
_symmetry_space_group_name_Hall '-P 4 2'
_cell_length_a 5.801
_cell_length_b 5.801
_cell_length_c 5.822
_cell_angle_alpha 90.00
_cell_angle_beta 90.00
_cell_angle_gamma 90.00
loop_
_atom_site_label
_atom_site_fract_x
_atom_site_fract_y
_atom_site_fract_z
Na1 0.000 0.000 0.000
Te1 0.000 0.000 0.500
S1 0.500 0.500 0.500
I1 0.000 0.500 0.000
# Magnetization = 0.566 μB/atom


Most favorable structure: run a. The second most favorable one is 677 meV per atom above it.


Run a
# NaSbI3 PBE-GGA relaxed
data_NaSbI3
_symmetry_space_group_name_H-M 'C 1 2/m 1'
_symmetry_Int_Tables_number 12
_cell_length_a 15.829
_cell_length_b 13.089
_cell_length_c 4.165
_cell_angle_alpha 90.00
_cell_angle_beta 90.01
_cell_angle_gamma 90.00
loop_
_symmetry_equiv_pos_as_xyz
'x,y,z'
'-x,-y,-z'
'-x,y,-z'
'x,-y,z'
'x+1/2,y+1/2,z'
'-x+1/2,-y+1/2,-z'
'-x+1/2,y+1/2,-z'
'x+1/2,-y+1/2,z'
loop_
_atom_site_label
_atom_site_fract_x
_atom_site_fract_y
_atom_site_fract_z
Na1 0.202 0.000 0.002
Sb1 0.000 0.317 0.500
I1 0.136 0.170 0.501
I2 0.136 0.500 0.500
# Magnetization = 0.000 μB/atom


Run b
# NaSbI3 PBE-GGA relaxed
data_NaSbI3
_symmetry_space_group_name_H-M 'P m -3 m'
_symmetry_Int_Tables_number 221
_symmetry_space_group_name_Hall '-P 4 2 3'
_cell_length_a 6.145
_cell_length_b 6.145
_cell_length_c 6.145
_cell_angle_alpha 90.00
_cell_angle_beta 90.00
_cell_angle_gamma 90.00
loop_
_atom_site_label
_atom_site_fract_x
_atom_site_fract_y
_atom_site_fract_z
Na1 0.000 0.000 0.000
Sb1 0.500 0.500 0.500
I1 0.000 0.500 0.500
# Magnetization = 0.000 μB/atom


Most favorable structure: run a. The second most favorable one is 94 meV per atom above it.


Run a
# Na2Sb2I PBE-GGA relaxed
data_Na2Sb2I
_symmetry_space_group_name_H-M 'I 4/m m m'
_symmetry_Int_Tables_number 139
_symmetry_space_group_name_Hall '-I 4 2'
_cell_length_a 6.123
_cell_length_b 6.123
_cell_length_c 10.237
_cell_angle_alpha 90.00
_cell_angle_beta 90.00
_cell_angle_gamma 90.00
loop_
_atom_site_label
_atom_site_fract_x
_atom_site_fract_y
_atom_site_fract_z
Na1 0.000 0.500 0.250
Sb1 0.000 0.000 0.127
I1 0.000 0.000 0.500
# Magnetization = 0.000 μB/atom


Run b
# Na2Sb2I PBE-GGA relaxed
data_Na2Sb2I
_symmetry_space_group_name_H-M 'P 4/m b m'
_symmetry_Int_Tables_number 127
_symmetry_space_group_name_Hall '-P 4 2ab'
_cell_length_a 8.726
_cell_length_b 8.726
_cell_length_c 4.556
_cell_angle_alpha 90.00
_cell_angle_beta 90.00
_cell_angle_gamma 90.00
loop_
_atom_site_label
_atom_site_fract_x
_atom_site_fract_y
_atom_site_fract_z
Na1 0.184 0.316 0.000
Sb1 0.107 0.607 0.500
I1 0.000 0.000 0.000
# Magnetization = 0.000 μB/atom


Most favorable structure: run b. The second most favorable one is 187 meV per atom above it.


Run a
# NaSbI4 PBE-GGA relaxed
data_NaSbI4
_symmetry_space_group_name_H-M 'C 1 2/m 1'
_symmetry_Int_Tables_number 12
_cell_length_a 17.456
_cell_length_b 4.422
_cell_length_c 8.006
_cell_angle_alpha 90.00
_cell_angle_beta 116.86
_cell_angle_gamma 90.00
loop_
_symmetry_equiv_pos_as_xyz
'x,y,z'
'-x,-y,-z'
'-x,y,-z'
'x,-y,z'
'x+1/2,y+1/2,z'
'-x+1/2,-y+1/2,-z'
'-x+1/2,y+1/2,-z'
'x+1/2,-y+1/2,z'
loop_
_atom_site_label
_atom_site_fract_x
_atom_site_fract_y
_atom_site_fract_z
Na1 0.000 0.000 0.000
Sb1 0.000 0.500 0.500
I1 0.111 0.500 0.298
I2 0.116 0.000 0.763
# Magnetization = 0.000 μB/atom


Run b
# NaSbI4 PBE-GGA relaxed
data_NaSbI4
_symmetry_space_group_name_H-M 'C 1 2/c 1'
_symmetry_Int_Tables_number 15
_cell_length_a 9.064
_cell_length_b 18.789
_cell_length_c 7.786
_cell_angle_alpha 90.00
_cell_angle_beta 124.18
_cell_angle_gamma 90.00
loop_
_symmetry_equiv_pos_as_xyz
'x,y,z'
'-x,-y,-z'
'-x,y,-z+1/2'
'x,-y,z+1/2'
'x+1/2,y+1/2,z'
'-x+1/2,-y+1/2,-z'
'-x+1/2,y+1/2,-z+1/2'
'x+1/2,-y+1/2,z+1/2'
loop_
_atom_site_label
_atom_site_fract_x
_atom_site_fract_y
_atom_site_fract_z
Na1 0.000 0.074 0.250
Sb1 0.000 0.426 0.750
I1 0.222 0.321 0.737
I2 0.246 0.446 0.226
# Magnetization = 0.000 μB/atom


Most favorable structure: run a. The second most favorable one is 5 meV per atom above it.


Run a
# NaSbI2 PBE-GGA relaxed
data_NaSbI2
_symmetry_space_group_name_H-M 'C 1 2/m 1'
_symmetry_Int_Tables_number 12
_cell_length_a 7.198
_cell_length_b 4.153
_cell_length_c 10.249
_cell_angle_alpha 90.00
_cell_angle_beta 103.41
_cell_angle_gamma 90.00
loop_
_symmetry_equiv_pos_as_xyz
'x,y,z'
'-x,-y,-z'
'-x,y,-z'
'x,-y,z'
'x+1/2,y+1/2,z'
'-x+1/2,-y+1/2,-z'
'-x+1/2,y+1/2,-z'
'x+1/2,-y+1/2,z'
loop_
_atom_site_label
_atom_site_fract_x
_atom_site_fract_y
_atom_site_fract_z
Na1 0.000 0.000 0.000
Sb1 0.000 0.500 0.500
I1 0.100 0.500 0.798
# Magnetization = 0.000 μB/atom


Run b
# NaSbI2 PBE-GGA relaxed
data_NaSbI2
_symmetry_space_group_name_H-M 'R -3 m'
_symmetry_Int_Tables_number 166
_symmetry_space_group_name_Hall '-R 3 2"'
_cell_length_a 5.3887
_cell_length_b 5.3887
_cell_length_c 25.1586
_cell_angle_alpha 90.00
_cell_angle_beta 90.00
_cell_angle_gamma 120.00
loop_
_atom_site_label
_atom_site_fract_x
_atom_site_fract_y
_atom_site_fract_z
Na1 0.0000 0.0000 0.0000
Sb1 0.0000 0.0000 0.5000
I1 0.0000 0.0000 0.1158
# Magnetization = 0.000 μB/atom


Run c
# NaSbI2 PBE-GGA relaxed
data_NaSbI2
_symmetry_space_group_name_H-M 'I -4 2 d'
_symmetry_Int_Tables_number 122
_symmetry_space_group_name_Hall 'I -4 2bw'
_cell_length_a 6.053
_cell_length_b 6.053
_cell_length_c 19.067
_cell_angle_alpha 90.00
_cell_angle_beta 90.00
_cell_angle_gamma 90.00
loop_
_atom_site_label
_atom_site_fract_x
_atom_site_fract_y
_atom_site_fract_z
Na1 0.000 0.000 0.000
Sb1 0.000 0.000 0.500
I1 0.226 0.250 0.625
# Magnetization = 0.000 μB/atom


Run d
# NaSbI2 PBE-GGA relaxed
data_NaSbI2
_symmetry_space_group_name_H-M 'F m -3 m'
_symmetry_Int_Tables_number 225
_symmetry_space_group_name_Hall '-F 4 2 3'
_cell_length_a 8.079
_cell_length_b 8.079
_cell_length_c 8.079
_cell_angle_alpha 90.00
_cell_angle_beta 90.00
_cell_angle_gamma 90.00
loop_
_atom_site_label
_atom_site_fract_x
_atom_site_fract_y
_atom_site_fract_z
Na1 0.000 0.000 0.000
Sb1 0.000 0.000 0.500
I1 0.250 0.250 0.250
# Magnetization = 0.000 μB/atom


Most favorable structure: run a. The second most favorable one is 156 meV per atom above it.